The following is a DFT calculation (GGA-PBE) of a relaxed structure of Ac2Tb3Sm4.

POSCAR file:
```
Ac2Tb3Sm4
1.0
3.715 0.000 0.000
-1.858 3.218 0.000
0.000 0.000 27.240
Ac Tb Sm
2 3 4
Direct
0.000 0.000 0.000 Ac
0.000 0.000 0.224 Ac
0.000 0.000 0.779 Tb
0.333 0.667 0.114 Tb
0.333 0.667 0.462 Tb
0.000 0.000 0.359 Sm
0.000 0.000 0.568 Sm
0.333 0.667 0.674 Sm
0.333 0.667 0.884 Sm
```

formation enthalpy at 0 K	69.7	kJ/mol of formula units
calculated density	7.8	g/cm³
calculated volume	326	Å³/cell
VASP energy	-4.47	eV/atom

=====

The following is a DFT calculation (GGA-PBE) of a relaxed structure of TmZnP.

POSCAR file:
```
TmZnP
1.0
0.000 6.029 4.347
4.956 0.000 4.347
4.956 6.029 0.000
Tm Zn P
4 4 4
Direct
0.281 0.719 0.404 Tm
0.654 0.846 0.531 Tm
0.719 0.281 0.596 Tm
0.846 0.654 0.969 Tm
0.122 0.791 0.061 Zn
0.189 0.223 0.128 Zn
0.223 0.189 0.459 Zn
0.791 0.122 0.027 Zn
0.312 0.577 0.782 P
0.468 0.922 0.938 P
0.577 0.312 0.328 P
0.922 0.468 0.673 P
```

formation enthalpy at 0 K	-186.6	kJ/mol of formula units
calculated density	6.8	g/cm³
calculated volume	260	Å³/cell
VASP energy	-4.36	eV/atom